Here is a geometry-optimized La2TmSn3Rh4 structure from Alexandria via LeMat-Bulk. Energies are from PBE-GGA.

Values from the calculation:
The density of states at the Fermi level comes out at 7.68 states/eV/f.u. The value obtained for the energy relative to the elements is -0.804 eV per atom. The value obtained for the uncorrected energy is -6.378 eV per atom.

Cell: 4.445 4.445 11.427 Å, 90.00 90.00 90.00°
Sites, in units of the cell vectors:
1 La 0.000 0.500 0.764
2 La 0.500 0.000 0.236
3 Rh 0.000 0.000 0.000
4 Rh 0.500 0.500 0.000
5 Rh 0.000 0.500 0.356
6 Rh 0.500 0.000 0.644
7 Sn 0.000 0.000 0.500
8 Sn 0.000 0.500 0.125
9 Sn 0.500 0.000 0.875
10 Tm 0.500 0.500 0.500